# CsY2Tc

CsY2Tc after structural relaxation (PBEsol, Alexandria via LeMat-Bulk).

Calculated values
Crystal system ... cubic
Calculated formation energy ... 0.82 eV per atom
Size of the total moment ... 0.0 μB per cell

Unit cell a=5.228 b=5.228 c=5.228 alpha=60.00 beta=60.00 gamma=60.00
Positions (direct):
Cs 0.000 0.000 0.000
Y 0.250 0.250 0.250
Y 0.750 0.750 0.750
Tc 0.500 0.500 0.500